Entry 1:
Material: NaSnPdPb
Method: DFT, PBE
State: relaxed

a = 5.0020 Å, b = 5.0020 Å, c = 5.0020 Å
α = 60.00°, β = 60.00°, γ = 60.00°
Fractional positions:
1 Na 0.0000 0.0000 0.0000
2 Sn 0.7500 0.7500 0.7500
3 Pd 0.5000 0.5000 0.5000
4 Pb 0.2500 0.2500 0.2500

Results
DFT total energy: -0.1374 hartree per atom
M_tot: 0.00 Bohr magnetons per cell
Symmetry: F-43m (216)
Calculated formation energy: -0.182 eV per atom


Entry 2:
Material: Li2TbHg9
Method: DFT, PBE
State: relaxed

a = 4.5573 Å, b = 4.5573 Å, c = 13.3523 Å
α = 90.00°, β = 90.00°, γ = 90.00°
Fractional positions:
1 Li 0.0000 0.0000 0.1595
2 Li 0.0000 0.0000 0.8405
3 Tb 0.0000 0.0000 0.5000
4 Hg 0.0000 0.5000 0.0000
5 Hg 0.0000 0.5000 0.3245
6 Hg 0.0000 0.5000 0.6755
7 Hg 0.5000 0.0000 0.0000
8 Hg 0.5000 0.0000 0.3245
9 Hg 0.5000 0.0000 0.6755
10 Hg 0.5000 0.5000 0.1623
11 Hg 0.5000 0.5000 0.5000
12 Hg 0.5000 0.5000 0.8377

Results
DFT total energy: -0.0426 hartree per atom
M_tot: 0.00 Bohr magnetons per cell
Symmetry: P4/mmm (123)
Calculated formation energy: -0.229 eV per atom


Entry 3:
Material: Sm2Tm4Al
Method: DFT, PBE
State: relaxed

a = 18.9816 Å, b = 18.9816 Å, c = 18.9816 Å
α = 10.81°, β = 10.81°, γ = 10.81°
Fractional positions:
1 Sm 0.1936 0.1936 0.1936
2 Sm 0.8064 0.8064 0.8064
3 Tm 0.0894 0.0894 0.0894
4 Tm 0.2940 0.2940 0.2940
5 Tm 0.7060 0.7060 0.7060
6 Tm 0.9106 0.9106 0.9106
7 Al 0.0000 0.0000 0.0000

Results
DFT total energy: -0.1643 hartree per atom
M_tot: 0.65 Bohr magnetons per cell
Symmetry: R-3m (166)
Calculated formation energy: -0.033 eV per atom


Entry 4:
Material: ThPa3N4
Method: DFT, PBE
State: relaxed

a = 6.1252 Å, b = 6.1252 Å, c = 3.5511 Å
α = 90.00°, β = 90.00°, γ = 109.71°
Fractional positions:
1 Th 0.0000 0.0000 0.0000
2 Pa 0.0000 0.5000 0.5000
3 Pa 0.5000 0.0000 0.5000
4 Pa 0.5000 0.5000 0.0000
5 N 0.2563 0.7437 0.0000
6 N 0.2641 0.2641 0.5000
7 N 0.7359 0.7359 0.5000
8 N 0.7437 0.2563 0.0000

Results
DFT total energy: -0.3773 hartree per atom
M_tot: 0.00 Bohr magnetons per cell
Symmetry: Cmmm (65)
Energy relative to the elements, uncorrected: -1.6162 eV/atom


Entry 5:
Material: Sc2CdAg
Method: DFT, PBE
State: relaxed

a = 3.5010 Å, b = 4.9212 Å, c = 4.9225 Å
α = 90.00°, β = 90.00°, γ = 90.00°
Fractional positions:
1 Sc 0.0000 0.0000 0.0000
2 Sc 0.0000 0.5000 0.4992
3 Cd 0.5000 0.0000 0.5002
4 Ag 0.5000 0.5000 0.9988

Results
DFT total energy: -0.1609 hartree per atom
M_tot: 0.00 Bohr magnetons per cell
Symmetry: Pmm2 (25)
Calculated formation energy: -0.270 eV per atom


Entry 6:
Material: Ce2MnSi4Pt3
Method: DFT, PBE
State: relaxed

a = 4.1852 Å, b = 4.1852 Å, c = 9.8636 Å
α = 90.00°, β = 90.00°, γ = 90.00°
Fractional positions:
1 Ce 0.0000 0.5000 0.2461
2 Ce 0.5000 0.0000 0.7539
3 Mn 0.5000 0.5000 0.0000
4 Si 0.0000 0.0000 0.5000
5 Si 0.0000 0.5000 0.8748
6 Si 0.5000 0.0000 0.1252
7 Si 0.5000 0.5000 0.5000
8 Pt 0.0000 0.0000 0.0000
9 Pt 0.0000 0.5000 0.6259
10 Pt 0.5000 0.0000 0.3741

Results
DFT total energy: -0.2594 hartree per atom
M_tot: 1.06 Bohr magnetons per cell
Symmetry: P-4m2 (115)
Energy relative to the elements, uncorrected: -0.9733 eV/atom


Entry 7:
Material: Sr2SbHPt
Method: DFT, PBE
State: relaxed

a = 5.6397 Å, b = 5.6397 Å, c = 3.7248 Å
α = 90.00°, β = 90.00°, γ = 90.00°
Fractional positions:
1 Sr 0.0000 0.5000 0.0000
2 Sr 0.5000 0.0000 0.0000
3 Sb 0.0000 0.0000 0.5000
4 H 0.5000 0.5000 0.0000
5 Pt 0.5000 0.5000 0.5000

Results
DFT total energy: -0.1512 hartree per atom
M_tot: 0.00 Bohr magnetons per cell
Symmetry: P4/mmm (123)


Entry 8:
Material: Ac2AlAg2Au4
Method: DFT, PBE
State: relaxed

a = 6.6514 Å, b = 6.6514 Å, c = 6.6514 Å
α = 118.11°, β = 118.11°, γ = 93.30°
Fractional positions:
1 Ac 0.2500 0.7500 0.5000
2 Ac 0.7500 0.2500 0.5000
3 Al 0.0000 0.0000 0.0000
4 Ag 0.2935 0.2935 0.0000
5 Ag 0.7065 0.7065 0.0000
6 Au 0.2693 0.2693 0.5386
7 Au 0.2693 0.7307 0.0000
8 Au 0.7307 0.2693 0.0000
9 Au 0.7307 0.7307 0.4614

Results
DFT total energy: -0.1453 hartree per atom
M_tot: 0.00 Bohr magnetons per cell
Symmetry: I4/mmm (139)
Calculated formation energy: -0.534 eV per atom